Entry 1:
## TaZnIr2 (PBE)

Data for a relaxed TaZnIr2 crystal.

Values from the calculation:
Total magnetization in μB per cell: 0.000
D(E_F) in states/eV per cell: 9.49
Energy relative to the elements in eV/atom: 0.142
Calculated total energy in eV/atom: -7.571

Cell: 6.9634 6.9634 5.6401 Å, 90.00 90.00 90.00°
Last column: nearest neighbours and their distance in Å.
Space group I-42d (No. 122)
Symmetry-distinct sites (fractional):
Ta1 0.0000 0.0000 0.0000  4 Ir 2.51
Zn1 0.0000 0.0000 0.5000  4 Ir 2.61, 2 Ta 2.82
Ir1 0.2399 0.7500 0.1250  2 Ta 2.51, 2 Zn 2.61

Entry 2:
## RbTlS2 (PBE)

Data for a relaxed RbTlS2 crystal.

Values from the calculation:
Total magnetization in μB per cell: 0.000
Formation energy from raw total energies in eV per atom: -0.585
Offset from the most stable computed form in meV/atom: 52
D(E_F) in states/eV per cell: 0.00
Calculated total energy in eV/atom: -3.482

Cell: 5.0327 6.0454 8.8344 Å, 90.00 90.07 90.00°
Last column: nearest neighbours and their distance in Å.
Space group P2_1/m (No. 11)
Symmetry-distinct sites (fractional):
Rb1 0.2504 0.2500 0.1148  6 S 3.39-3.41
Tl1 0.2508 0.7500 0.4350  6 S 3.18-3.41
S1 0.2491 0.0759 0.7500  1 S 2.11